The following is a DFT calculation (GGA+U) of an optimized crystal structure of CoCl2O.

The space-group type is Fm-3m (225). The density of states at the Fermi level is 3.68 states/eV/cell. The value obtained for the total energy is -2.99 eV/atom.

Unit cell a=4.438 b=4.438 c=4.438 alpha=60.00 beta=60.00 gamma=60.00
Fractional positions:
Co: 0.000 0.000 0.000
Cl: 0.250 0.250 0.250
Cl: 0.750 0.750 0.750
O: 0.500 0.500 0.500